(1)
DFT (PBE) results for a geometry-optimized Y8PdAu2 structure.

Calculated values
DFT total energy: -6.118 eV per atom

Cell and atoms, written as CIF:
```
data_Y8PdAu2
_chemical_formula_sum 'Y16 Pd2 Au4'
_cell_length_a 8.494
_cell_length_b 13.642
_cell_length_c 5.855
_cell_angle_alpha 90.00
_cell_angle_beta 111.43
_cell_angle_gamma 90.00
_space_group_name_H-M_alt 'C 1 m 1'
_space_group_IT_number 8
loop_
_space_group_symop_operation_xyz
'x,y,z'
'x,-y,z'
'x+1/2,y+1/2,z'
'x+1/2,-y+1/2,z'
loop_
_atom_site_label
_atom_site_fract_x
_atom_site_fract_y
_atom_site_fract_z
_atom_site_occupancy
Y1 0.000 0.000 0.000 1
Y2 0.088 0.377 0.816 1
Y3 0.151 0.123 0.586 1
Y4 0.235 0.500 0.384 1
Y5 0.370 0.205 0.192 1
Pd1 0.366 0.000 0.045 1
Au1 0.365 0.300 0.686 1
```



(2)
DFT (PBE) results for a geometry-optimized YPd2Au2 structure.

Calculated values
E above lowest polymorph: 0.0 meV/atom

Cell and atoms, written as CIF:
```
data_YPd2Au2
_chemical_formula_sum 'Y4 Pd8 Au8'
_cell_length_a 4.850
_cell_length_b 5.944
_cell_length_c 13.251
_cell_angle_alpha 90.00
_cell_angle_beta 90.00
_cell_angle_gamma 90.00
_space_group_name_H-M_alt 'I m m a'
_space_group_IT_number 74
_space_group_name_Hall '-I 2b 2'
loop_
_atom_site_label
_atom_site_fract_x
_atom_site_fract_y
_atom_site_fract_z
_atom_site_occupancy
Y1 0.000 0.250 0.122 1
Pd1 0.000 0.002 0.685 1
Au1 0.000 0.250 0.505 1
Au2 0.000 0.250 0.869 1
```



(3)
DFT (PBE) results for a geometry-optimized Y2Pd3Au4 structure.

Calculated values
DFT total energy: -5.315 eV per atom

Cell and atoms, written as CIF:
```
data_Y2Pd3Au4
_chemical_formula_sum 'Y4 Pd6 Au8'
_cell_length_a 9.683
_cell_length_b 4.255
_cell_length_c 8.867
_cell_angle_alpha 90.00
_cell_angle_beta 111.67
_cell_angle_gamma 90.00
_space_group_name_H-M_alt 'C 1 2/m 1'
_space_group_IT_number 12
loop_
_space_group_symop_operation_xyz
'x,y,z'
'-x,-y,-z'
'-x,y,-z'
'x,-y,z'
'x+1/2,y+1/2,z'
'-x+1/2,-y+1/2,-z'
'-x+1/2,y+1/2,-z'
'x+1/2,-y+1/2,z'
loop_
_atom_site_label
_atom_site_fract_x
_atom_site_fract_y
_atom_site_fract_z
_atom_site_occupancy
Y1 0.174 0.000 0.232 1
Pd1 0.000 0.500 0.000 1
Pd2 0.160 0.000 0.555 1
Au1 0.010 0.500 0.339 1
Au2 0.163 0.000 0.888 1
```



(4)
DFT (PBE) results for a geometry-optimized YPd3Au structure.

Calculated values
E above lowest polymorph: 163.1 meV/atom

Cell and atoms, written as CIF:
```
data_YPd3Au
_chemical_formula_sum 'Y4 Pd12 Au4'
_cell_length_a 6.630
_cell_length_b 11.468
_cell_length_c 5.347
_cell_angle_alpha 90.00
_cell_angle_beta 90.00
_cell_angle_gamma 90.00
_space_group_name_H-M_alt 'C m c m'
_space_group_IT_number 63
_space_group_name_Hall '-C 2c 2'
loop_
_atom_site_label
_atom_site_fract_x
_atom_site_fract_y
_atom_site_fract_z
_atom_site_occupancy
Y1 0.000 0.166 0.250 1
Pd1 0.000 0.298 0.750 1
Pd2 0.197 0.101 0.750 1
Au1 0.000 0.500 0.000 1
```



(5)
DFT (PBE) results for a geometry-optimized YPd3Au structure.

Calculated values
E above lowest polymorph: 828.2 meV/atom

Cell and atoms, written as CIF:
```
data_YPd3Au
_chemical_formula_sum 'Y1 Pd3 Au1'
_cell_length_a 4.945
_cell_length_b 4.945
_cell_length_c 4.945
_cell_angle_alpha 90.00
_cell_angle_beta 90.00
_cell_angle_gamma 90.00
_space_group_name_H-M_alt 'P m -3 m'
_space_group_IT_number 221
_space_group_name_Hall '-P 4 2 3'
loop_
_atom_site_label
_atom_site_fract_x
_atom_site_fract_y
_atom_site_fract_z
_atom_site_occupancy
Y1 0.000 0.000 0.000 1
Pd1 0.000 0.500 0.500 1
Au1 0.500 0.500 0.500 1
```



(6)
DFT (PBE) results for a geometry-optimized Y2Pd6Au structure.

Calculated values
E above lowest polymorph: 0.0 meV/atom

Cell and atoms, written as CIF:
```
data_Y2Pd6Au
_chemical_formula_sum 'Y4 Pd12 Au2'
_cell_length_a 12.226
_cell_length_b 4.126
_cell_length_c 6.749
_cell_angle_alpha 90.00
_cell_angle_beta 108.20
_cell_angle_gamma 90.00
_space_group_name_H-M_alt 'C 1 2/m 1'
_space_group_IT_number 12
loop_
_space_group_symop_operation_xyz
'x,y,z'
'-x,-y,-z'
'-x,y,-z'
'x,-y,z'
'x+1/2,y+1/2,z'
'-x+1/2,-y+1/2,-z'
'-x+1/2,y+1/2,-z'
'x+1/2,-y+1/2,z'
loop_
_atom_site_label
_atom_site_fract_x
_atom_site_fract_y
_atom_site_fract_z
_atom_site_occupancy
Y1 0.066 0.000 0.325 1
Pd1 0.113 0.500 0.672 1
Pd2 0.171 0.000 0.000 1
Pd3 0.225 0.500 0.325 1
Au1 0.000 0.500 0.000 1
```



(7)
DFT (PBE) results for a geometry-optimized Y2Pd3Au structure.

Calculated values
E above lowest polymorph: 0.0 meV/atom

Cell and atoms, written as CIF:
```
data_Y2Pd3Au
_chemical_formula_sum 'Y16 Pd24 Au8'
_cell_length_a 9.992
_cell_length_b 9.992
_cell_length_c 10.750
_cell_angle_alpha 90.00
_cell_angle_beta 90.00
_cell_angle_gamma 90.00
_space_group_name_H-M_alt 'I 41/a m d'
_space_group_IT_number 141
loop_
_space_group_symop_operation_xyz
'x,y,z'
'-x,-y,-z'
'-y+1/4,x+3/4,z+1/4'
'y+1/4,-x+3/4,-z+1/4'
'-x+1/2,-y,z+1/2'
'x+1/2,y,-z+1/2'
'y+1/4,-x+1/4,z+3/4'
'-y+1/4,x+1/4,-z+3/4'
'x,-y,-z'
'-x,y,z'
'-y+1/4,-x+1/4,-z+3/4'
'y+1/4,x+1/4,z+3/4'
'-x+1/2,y,-z+1/2'
'x+1/2,-y,z+1/2'
'y+1/4,x+3/4,-z+1/4'
'-y+1/4,-x+3/4,z+1/4'
'x+1/2,y+1/2,z+1/2'
'-x+1/2,-y+1/2,-z+1/2'
'-y+3/4,x+1/4,z+3/4'
'y+3/4,-x+1/4,-z+3/4'
'-x,-y+1/2,z'
'x,y+1/2,-z'
'y+3/4,-x+3/4,z+1/4'
'-y+3/4,x+3/4,-z+1/4'
'x+1/2,-y+1/2,-z+1/2'
'-x+1/2,y+1/2,z+1/2'
'-y+3/4,-x+3/4,-z+1/4'
'y+3/4,x+3/4,z+1/4'
'-x,y+1/2,-z'
'x,-y+1/2,z'
'y+3/4,x+1/4,-z+3/4'
'-y+3/4,-x+1/4,z+3/4'
loop_
_atom_site_label
_atom_site_fract_x
_atom_site_fract_y
_atom_site_fract_z
_atom_site_occupancy
Y1 0.000 0.055 0.223 1
Pd1 0.000 0.000 0.500 1
Pd2 0.238 0.012 0.375 1
Au1 0.000 0.250 0.007 1
```



(8)
DFT (PBE) results for a geometry-optimized YPdAu4 structure.

Calculated values
E above lowest polymorph: 59.9 meV/atom

Cell and atoms, written as CIF:
```
data_YPdAu4
_chemical_formula_sum 'Y4 Pd4 Au16'
_cell_length_a 7.773
_cell_length_b 7.773
_cell_length_c 7.773
_cell_angle_alpha 90.00
_cell_angle_beta 90.00
_cell_angle_gamma 90.00
_space_group_name_H-M_alt 'F -4 3 m'
_space_group_IT_number 216
_space_group_name_Hall 'F -4 2 3'
loop_
_atom_site_label
_atom_site_fract_x
_atom_site_fract_y
_atom_site_fract_z
_atom_site_occupancy
Y1 0.000 0.000 0.000 1
Pd1 0.250 0.250 0.750 1
Au1 0.125 0.125 0.375 1
```



(9)
DFT (PBE) results for a geometry-optimized YPd5Au6 structure.

Calculated values
DFT total energy: -4.658 eV per atom

Cell and atoms, written as CIF:
```
data_YPd5Au6
_chemical_formula_sum 'Y2 Pd10 Au12'
_cell_length_a 4.168
_cell_length_b 8.130
_cell_length_c 12.385
_cell_angle_alpha 90.00
_cell_angle_beta 90.00
_cell_angle_gamma 90.00
_space_group_name_H-M_alt 'I m m m'
_space_group_IT_number 71
_space_group_name_Hall '-I 2 2'
loop_
_atom_site_label
_atom_site_fract_x
_atom_site_fract_y
_atom_site_fract_z
_atom_site_occupancy
Y1 0.000 0.000 0.000 1
Pd1 0.000 0.000 0.330 1
Pd2 0.000 0.500 0.000 1
Pd3 0.000 0.500 0.339 1
Au1 0.000 0.235 0.500 1
Au2 0.000 0.258 0.170 1
```



(10)
DFT (PBE) results for a geometry-optimized Y2Pd8Au3 structure.

Calculated values
DFT total energy: -5.338 eV per atom

Cell and atoms, written as CIF:
```
data_Y2Pd8Au3
_chemical_formula_sum 'Y4 Pd16 Au6'
_cell_length_a 13.718
_cell_length_b 7.057
_cell_length_c 4.972
_cell_angle_alpha 90.00
_cell_angle_beta 90.69
_cell_angle_gamma 90.00
_space_group_name_H-M_alt 'C 1 2/m 1'
_space_group_IT_number 12
loop_
_space_group_symop_operation_xyz
'x,y,z'
'-x,-y,-z'
'-x,y,-z'
'x,-y,z'
'x+1/2,y+1/2,z'
'-x+1/2,-y+1/2,-z'
'-x+1/2,y+1/2,-z'
'x+1/2,-y+1/2,z'
loop_
_atom_site_label
_atom_site_fract_x
_atom_site_fract_y
_atom_site_fract_z
_atom_site_occupancy
Y1 0.159 0.000 0.209 1
Pd1 0.054 0.000 0.721 1
Pd2 0.171 0.299 0.671 1
Pd3 0.189 0.500 0.188 1
Au1 0.000 0.308 0.000 1
Au2 0.000 0.500 0.500 1
```



(11)
DFT (PBE) results for a geometry-optimized YPd2Au8 structure.

Calculated values
E above lowest polymorph: 0.0 meV/atom

Cell and atoms, written as CIF:
```
data_YPd2Au8
_chemical_formula_sum 'Y2 Pd4 Au16'
_cell_length_a 15.148
_cell_length_b 4.153
_cell_length_c 6.597
_cell_angle_alpha 90.00
_cell_angle_beta 104.67
_cell_angle_gamma 90.00
_space_group_name_H-M_alt 'C 1 2/m 1'
_space_group_IT_number 12
loop_
_space_group_symop_operation_xyz
'x,y,z'
'-x,-y,-z'
'-x,y,-z'
'x,-y,z'
'x+1/2,y+1/2,z'
'-x+1/2,-y+1/2,-z'
'-x+1/2,y+1/2,-z'
'x+1/2,-y+1/2,z'
loop_
_atom_site_label
_atom_site_fract_x
_atom_site_fract_y
_atom_site_fract_z
_atom_site_occupancy
Y1 0.000 0.000 0.000 1
Pd1 0.226 0.500 0.633 1
Au1 0.050 0.500 0.721 1
Au2 0.097 0.000 0.457 1
Au3 0.141 0.500 0.193 1
Au4 0.185 0.000 0.913 1
```



(12)
DFT (PBE) results for a geometry-optimized Y2PdAu3 structure.

Calculated values
DFT total energy: -5.243 eV per atom

Cell and atoms, written as CIF:
```
data_Y2PdAu3
_chemical_formula_sum 'Y8 Pd4 Au12'
_cell_length_a 7.395
_cell_length_b 8.290
_cell_length_c 9.310
_cell_angle_alpha 90.00
_cell_angle_beta 90.00
_cell_angle_gamma 90.00
_space_group_name_H-M_alt 'I b a m'
_space_group_IT_number 72
_space_group_name_Hall '-I 2 2c'
loop_
_atom_site_label
_atom_site_fract_x
_atom_site_fract_y
_atom_site_fract_z
_atom_site_occupancy
Y1 0.194 0.187 0.000 1
Pd1 0.000 0.500 0.000 1
Au1 0.000 0.000 0.250 1
Au2 0.000 0.329 0.250 1
```